(1)
# Tc2Pt | Alexandria | PBE | relaxed
# Energy relative to the lowest polymorph listed for this composition, eV/atom: 0.124
# Space group: P-3m1 (164)
data_Tc2Pt
_chemical_formula_sum 'Tc2 Pt1'
_cell_length_a 2.759
_cell_length_b 2.759
_cell_length_c 6.780
_cell_angle_alpha 90.00
_cell_angle_beta 90.00
_cell_angle_gamma 120.00
_space_group_name_H-M_alt 'P 1'
_space_group_IT_number 1
loop_
_space_group_symop_operation_xyz
'x,y,z'
loop_
_atom_site_label
_atom_site_type_symbol
_atom_site_fract_x
_atom_site_fract_y
_atom_site_fract_z
Tc1 Tc 0.333 0.667 0.345
Tc2 Tc 0.667 0.333 0.655
Pt1 Pt 0.000 0.000 0.000

=====

(2)
# TcPt3 | Alexandria | PBE | relaxed
# Space group: C2/m (12)
# Energy, eV/atom: -7.24
data_TcPt3
_chemical_formula_sum 'Tc1 Pt3'
_cell_length_a 4.817
_cell_length_b 4.817
_cell_length_c 4.851
_cell_angle_alpha 99.22
_cell_angle_beta 99.22
_cell_angle_gamma 33.41
_space_group_name_H-M_alt 'P 1'
_space_group_IT_number 1
loop_
_space_group_symop_operation_xyz
'x,y,z'
loop_
_atom_site_label
_atom_site_type_symbol
_atom_site_fract_x
_atom_site_fract_y
_atom_site_fract_z
Tc1 Tc 0.000 0.000 0.000
Pt1 Pt 0.254 0.254 0.758
Pt2 Pt 0.500 0.500 0.500
Pt3 Pt 0.746 0.746 0.242

=====

(3)
# Tc2Pt | Alexandria | PBE | relaxed
# Energy relative to the lowest polymorph listed for this composition, eV/atom: 0.078
# Space group: Cm (8)
data_Tc2Pt
_chemical_formula_sum 'Tc4 Pt2'
_cell_length_a 5.231
_cell_length_b 5.231
_cell_length_c 6.558
_cell_angle_alpha 103.76
_cell_angle_beta 103.76
_cell_angle_gamma 30.63
_space_group_name_H-M_alt 'P 1'
_space_group_IT_number 1
loop_
_space_group_symop_operation_xyz
'x,y,z'
loop_
_atom_site_label
_atom_site_type_symbol
_atom_site_fract_x
_atom_site_fract_y
_atom_site_fract_z
Tc1 Tc 0.000 0.000 0.000
Tc2 Tc 0.056 0.056 0.617
Tc3 Tc 0.390 0.390 0.275
Tc4 Tc 0.720 0.720 0.949
Pt1 Pt 0.335 0.335 0.676
Pt2 Pt 0.665 0.665 0.331